Tc2TeRh: optimized geometry, PBE.

## Properties
The density is 10.7 g/cm³. The density of states at the Fermi level is 0.647 states/eV per atom. The value obtained for the total energy is -7.569 eV/atom. The calculation puts the formation energy from raw total energies at 238 meV per atom.

Unit cell a=3.0027 b=3.0027 c=7.3251 alpha=90.00 beta=90.00 gamma=90.00
Last column: nearest neighbours and their distance in Å.
Space group P4mm (No. 99)
Symmetry-distinct sites (fractional):
1 Tc 0.0000 0.0000 0.0000 [1 per cell]  4 Tc 2.63, 4 Rh 2.82
2 Tc 0.5000 0.5000 0.2111 [1 per cell]  4 Tc 2.63
3 Te 0.0000 0.0000 0.4894 [1 per cell]  4 Rh 2.84, 4 Tc 2.94, 4 Te 3.00
4 Rh 0.5000 0.5000 0.7475 [1 per cell]  4 Tc 2.82, 4 Te 2.84, 4 Rh 3.00